1.
# CeEuCuRu

CeEuCuRu after structural relaxation (PBE, Alexandria via LeMat-Bulk).

Output
space-group type	F-43m
DFT total energy	-7.46	eV/atom
crystal system	cubic

Lattice parameters (Å, degrees): 4.9476 4.9476 4.9476 60.00 60.00 60.00
Last column: nearest neighbours and their distance in Å.
Fractional coordinates of all 4 atoms:
Ce (0.0000, 0.0000, 0.0000)  4 Ru 3.03, 4 Cu 3.03
Eu (0.5000, 0.5000, 0.5000)  4 Ru 3.03, 4 Cu 3.03
Cu (0.2500, 0.2500, 0.2500)  4 Eu 3.03, 4 Ce 3.03
Ru (0.7500, 0.7500, 0.7500)  4 Eu 3.03, 4 Ce 3.03

***

2.
# CeEuCuSi

CeEuCuSi after structural relaxation (PBE, Alexandria via LeMat-Bulk).

Output
space-group type	F-43m
DFT total energy	-6.70	eV/atom
crystal system	cubic

Lattice parameters (Å, degrees): 5.1021 5.1021 5.1021 60.00 60.00 60.00
Last column: nearest neighbours and their distance in Å.
Fractional coordinates of all 4 atoms:
Ce (0.0000, 0.0000, 0.0000)  4 Cu 3.12, 4 Si 3.12
Eu (0.5000, 0.5000, 0.5000)  4 Cu 3.12, 4 Si 3.12
Cu (0.7500, 0.7500, 0.7500)  4 Ce 3.12, 4 Eu 3.12
Si (0.2500, 0.2500, 0.2500)  4 Ce 3.12, 4 Eu 3.12

***

3.
# CeCu4F12

CeCu4F12 after structural relaxation (PBE, Alexandria via LeMat-Bulk).

Output
space-group type	Immm
DFT total energy	-4.73	eV/atom
crystal system	orthorhombic

Lattice parameters (Å, degrees): 6.8594 6.8594 6.8594 113.87 107.40 107.24
Last column: nearest neighbours and their distance in Å.
Fractional coordinates of all 17 atoms:
Ce (0.0000, 0.0000, 0.0000)  8 F 2.33
Cu (0.0000, 0.0000, 0.5000)  6 F 1.91-2.09
Cu (0.0000, 0.5000, 0.0000)  6 F 1.91-2.09
Cu (0.5000, 0.0000, 0.0000)  6 F 1.91-2.09
Cu (0.5000, 0.5000, 0.5000)  6 F 1.91-2.09
F (0.0010, 0.7189, 0.2821)  2 Cu 1.91
F (0.2263, 0.0357, 0.8094)  2 Cu 2.09, 1 Ce 2.33
F (0.2259, 0.1912, 0.4171)  2 Cu 2.09, 1 Ce 2.33
F (0.2263, 0.4170, 0.1906)  2 Cu 2.09, 1 Ce 2.33
F (0.2259, 0.8088, 0.0348)  2 Cu 2.09, 1 Ce 2.33
F (0.4368, 0.7189, 0.7179)  2 Cu 1.91
F (0.5632, 0.2811, 0.2821)  2 Cu 1.91
F (0.7741, 0.1912, 0.9652)  2 Cu 2.09, 1 Ce 2.33
F (0.7737, 0.5830, 0.8094)  2 Cu 2.09, 1 Ce 2.33
F (0.7741, 0.8088, 0.5829)  2 Cu 2.09, 1 Ce 2.33
F (0.7737, 0.9643, 0.1906)  2 Cu 2.09, 1 Ce 2.33
F (0.9990, 0.2811, 0.7179)  2 Cu 1.91

***

4.
# CeCu2F8

CeCu2F8 after structural relaxation (PBE, Alexandria via LeMat-Bulk).

Output
space-group type	C2/m
DFT total energy	-5.04	eV/atom
crystal system	monoclinic

Lattice parameters (Å, degrees): 5.6523 5.6523 5.0989 98.40 98.40 70.85
Last column: nearest neighbours and their distance in Å.
Fractional coordinates of all 11 atoms:
Ce (0.0000, 0.0000, 0.0000)  6 F 2.17-2.20
Cu (0.3302, 0.3302, 0.5629)  2 F 1.83-1.92
Cu (0.6698, 0.6698, 0.4371)  2 F 1.83-1.92
F (0.0764, 0.6702, 0.6987)  1 Cu 2.08, 1 Ce 2.20
F (0.1892, 0.1892, 0.7994)  1 Cu 1.92
F (0.3298, 0.9236, 0.3013)  1 Cu 2.08, 1 Ce 2.20
F (0.4169, 0.4169, 0.2661)  1 Cu 1.83
F (0.5831, 0.5831, 0.7339)  1 Cu 1.83
F (0.6702, 0.0764, 0.6987)  1 Cu 2.08, 1 Ce 2.20
F (0.8108, 0.8108, 0.2006)  1 Cu 1.92
F (0.9236, 0.3298, 0.3013)  1 Cu 2.08, 1 Ce 2.20

***

5.
# CeCu2F6

CeCu2F6 after structural relaxation (PBE, Alexandria via LeMat-Bulk).

Output
space-group type	C2/m
DFT total energy	-5.33	eV/atom
crystal system	monoclinic

Lattice parameters (Å, degrees): 4.2035 4.2035 9.5450 90.82 90.82 58.60
Last column: nearest neighbours and their distance in Å.
Fractional coordinates of all 9 atoms:
Ce (0.0000, 0.0000, 0.0000)  6 F 2.21-2.42
Cu (0.1495, 0.1495, 0.4091)  4 F 1.94-2.08
Cu (0.8505, 0.8505, 0.5909)  4 F 1.94-2.08
F (0.0175, 0.0175, 0.2310)  1 Cu 1.94
F (0.3171, 0.3171, 0.5760)  3 Cu 2.00-2.08
F (0.3351, 0.3351, 0.0423)  3 Ce 2.42-2.48, 3 F 2.53-2.56
F (0.6649, 0.6649, 0.9577)  3 Ce 2.42-2.48, 3 F 2.53-2.56
F (0.6829, 0.6829, 0.4240)  3 Cu 2.00-2.08
F (0.9825, 0.9825, 0.7690)  1 Cu 1.94

***

6.
# CeCuF5

CeCuF5 after structural relaxation (PBE, Alexandria via LeMat-Bulk).

Output
space-group type	C2/c
DFT total energy	-5.77	eV/atom
crystal system	monoclinic

Lattice parameters (Å, degrees): 5.8043 5.8043 7.5793 108.05 108.05 78.00
Last column: nearest neighbours and their distance in Å.
Fractional coordinates of all 14 atoms:
Ce (0.0637, 0.9363, 0.7500)  7 F 2.19-2.38
Ce (0.9363, 0.0637, 0.2500)  7 F 2.19-2.38
Cu (0.5000, 0.5000, 0.0000)  4 F 1.98-2.07
Cu (0.5000, 0.5000, 0.5000)  4 F 1.98-2.07
F (0.1580, 0.8163, 0.0407)  2 Ce 2.31-2.38, 1 Cu 2.43
F (0.1837, 0.8420, 0.4593)  2 Ce 2.31-2.38, 1 Cu 2.43
F (0.2216, 0.3064, 0.3740)  1 Cu 1.98, 1 Ce 2.19
F (0.3064, 0.2216, 0.8740)  1 Cu 1.98, 1 Ce 2.19
F (0.3854, 0.6146, 0.7500)  2 Cu 2.07
F (0.6146, 0.3854, 0.2500)  2 Cu 2.07
F (0.6936, 0.7784, 0.1260)  1 Cu 1.98, 1 Ce 2.19
F (0.7784, 0.6936, 0.6260)  1 Cu 1.98, 1 Ce 2.19
F (0.8163, 0.1580, 0.5407)  2 Ce 2.31-2.38, 1 Cu 2.43
F (0.8420, 0.1837, 0.9593)  2 Ce 2.31-2.38, 1 Cu 2.43

***

Question: Which of these has the lowest DFT total energy?
Answer: CeEuCuRu

***

Question: Which of these has the highest DFT total energy?
Answer: CeCu4F12

***

Question: The lowest DFT total energy belongs to which entry?
Answer: CeEuCuRu